# KNa2SrCu

A relaxed KNa2SrCu crystal (PBE, Alexandria via LeMat-Bulk).

Volume, Å³/atom: 41.9
DFT formation energy, kJ/mol of atoms: 15
ΔE to the lowest computed polymorph, eV per formula unit: 0.00
Fermi-level density of states, states/eV per atom: 0.69
VASP energy, eV/atom: -1.743
Size of the total moment, μB per formula unit: 0.0
Symmetry: P4/mmm, No. 123

abc: 5.9385 5.9385 5.9343
angles: 90.00 90.00 90.00
Element x y z (fractional)
Sr (0.0000, 0.0000, 0.5000)
K (0.5000, 0.5000, 0.5000)
Cu (0.0000, 0.0000, 0.0000)
Na (0.0000, 0.5000, 0.0000)
Na (0.5000, 0.0000, 0.0000)